1.
# KRb2TlI6

An optimized crystal structure of KRb2TlI6 (GGA-PBE, the Alexandria database).

```
KRb2TlI6
1.0
8.666 0.000 0.153
0.000 9.206 0.000
0.292 0.000 12.192
K Rb Tl I
2 4 2 12
Cartesian
4.333 0.000 0.076
0.146 4.603 6.096
0.370 8.448 3.136
4.849 5.361 9.309
8.588 0.758 9.208
4.109 3.845 3.036
4.479 0.000 6.172
0.000 4.603 0.000
2.489 6.259 0.668
6.968 7.550 6.840
6.470 2.947 11.677
1.991 1.656 5.504
2.981 6.642 5.324
7.460 7.167 11.496
5.977 2.564 7.020
1.498 2.039 0.848
7.643 5.010 2.962
3.456 8.799 8.981
1.315 4.196 9.383
5.502 0.407 3.363
```

## Properties
final energy	-0.0898	Ha/atom
polymorph energy (0 for the lowest one)	0	meV per atom

=====

2.
# KRbTlI3

An optimized crystal structure of KRbTlI3 (GGA-PBE, the Alexandria database).

```
KRbTlI3
1.0
-1.697 -2.485 -4.194
-4.282 -6.856 5.795
-8.637 8.773 -1.704
K Rb Tl I
2 2 2 6
Cartesian
-6.622 3.598 -1.042
-7.994 -4.167 0.938
-11.479 -0.557 0.209
-3.137 -0.012 -0.312
-4.015 -4.374 2.628
-10.601 3.806 -2.731
-8.716 -1.339 2.731
-6.004 -7.051 1.842
-4.870 -3.387 -0.788
-5.900 0.770 -2.834
-9.746 2.818 0.685
-8.612 6.483 -1.945
```

## Properties
N(E_F)	0.00	states/eV/cell
final energy	-0.0982	Ha/atom